# 1
12
Lattice="6.463 0.000 0.000 0.000 6.463 0.000 0.000 0.000 6.463" Properties=species:S:1:pos:R:3 comment="PBE UZnIr, relaxed" space_group="F-43m (216)" energy_ev_per_fu=-20.05 crystal_system=cubic formation_energy_ev_per_atom=0.455 pbc="T T T"
U 0.000 0.000 0.000
U 0.000 3.232 3.232
U 3.232 0.000 3.232
U 3.232 3.232 0.000
Zn 1.616 1.616 4.847
Zn 1.616 4.847 1.616
Zn 4.847 1.616 1.616
Zn 4.847 4.847 4.847
Ir 1.616 1.616 1.616
Ir 1.616 4.847 4.847
Ir 4.847 1.616 4.847
Ir 4.847 4.847 1.616

---

# 2
10
Lattice="-2.316 2.316 10.702 2.316 -2.316 10.702 2.316 2.316 -10.702" Properties=species:S:1:pos:R:3 comment="PBE Zr2UIr2, relaxed" space_group="I4/mmm (139)" energy_ev_per_fu=-47.04 crystal_system=tetragonal formation_energy_ev_per_atom=-0.187 pbc="T T T"
Zr 0.000 0.000 1.508
Zr 2.316 0.000 5.351
Zr 0.000 2.316 5.351
Zr 0.000 0.000 19.895
U 0.000 0.000 8.649
U 0.000 0.000 12.754
Ir 2.316 0.000 0.000
Ir 0.000 0.000 4.038
Ir 0.000 2.316 0.000
Ir 0.000 0.000 17.365

---

# 3
16
Lattice="5.544 0.000 0.000 0.000 9.604 0.000 0.000 0.000 4.426" Properties=species:S:1:pos:R:3 comment="PBE Ir3W, relaxed" space_group="Cmcm (63)" energy_ev_per_fu=-40.93 crystal_system=orthorhombic formation_energy_ev_per_atom=-0.351 pbc="T T T"
Ir 0.000 1.600 1.106
Ir 0.000 8.004 3.319
Ir 1.382 0.801 3.319
Ir 1.382 8.803 1.106
Ir 1.390 4.001 1.106
Ir 1.390 5.603 3.319
Ir 2.772 3.202 3.319
Ir 2.772 6.402 1.106
Ir 4.155 4.001 1.106
Ir 4.155 5.603 3.319
Ir 4.162 0.801 3.319
Ir 4.162 8.803 1.106
W 0.000 3.197 3.319
W 0.000 6.407 1.106
W 2.772 1.605 1.106
W 2.772 7.999 3.319

---

# 4
6
Lattice="0.000 5.664 5.664 5.664 0.000 5.664 5.664 5.664 0.000" Properties=species:S:1:pos:R:3 comment="PBE IrW2, relaxed" space_group="Fd-3m (227)" energy_ev_per_fu=-23.43 relative_energy_ev_per_fu=10.19 crystal_system=cubic formation_energy_ev_per_atom=3.782 pbc="T T T"
Ir 1.416 1.416 1.416
Ir 9.912 9.912 9.912
W 0.000 0.000 0.000
W 2.832 2.832 0.000
W 2.832 0.000 2.832
W 0.000 2.832 2.832

---

# 5
8
Lattice="5.545 0.000 0.000 -2.773 4.802 0.000 0.000 0.000 4.429" Properties=species:S:1:pos:R:3 comment="PBE Ir3W, relaxed" space_group="P6_3/mmc (194)" energy_ev_per_fu=-40.93 crystal_system=hexagonal formation_energy_ev_per_atom=-0.351 pbc="T T T"
Ir 0.000 1.598 1.107
Ir -1.389 4.003 1.107
Ir 1.384 0.799 3.322
Ir 1.389 4.003 1.107
Ir 4.161 0.799 3.322
Ir 2.773 3.204 3.322
W 0.000 3.202 3.322
W 2.773 1.601 1.107

---

# 6
6
Lattice="0.000 3.658 3.658 3.658 0.000 3.658 3.658 3.658 0.000" Properties=species:S:1:pos:R:3 comment="PBE IrW2, relaxed" space_group="Fd-3m (227)" energy_ev_per_fu=-33.62 relative_energy_ev_per_fu=0.00 crystal_system=cubic formation_energy_ev_per_atom=0.386 pbc="T T T"
Ir 0.915 0.915 0.915
Ir 6.402 6.402 6.402
W 3.658 1.829 1.829
W 1.829 3.658 1.829
W 1.829 1.829 3.658
W 3.658 3.658 3.658

---

# 7
8
Lattice="5.550 0.000 0.000 -2.775 4.806 0.000 0.000 0.000 4.424" Properties=species:S:1:pos:R:3 comment="PBE Ir3W, relaxed" space_group="P6_3/mmc (194)" energy_ev_per_fu=-40.93 crystal_system=hexagonal formation_energy_ev_per_atom=-0.351 pbc="T T T"
Ir 0.000 1.604 1.106
Ir -1.386 4.004 1.106
Ir 1.389 0.802 3.318
Ir 1.386 4.004 1.106
Ir 4.161 0.802 3.318
Ir 2.775 3.202 3.318
W 0.000 3.204 3.318
W 2.775 1.602 1.106

---

# 8
16
Lattice="6.501 0.000 0.000 0.000 6.501 0.000 0.000 0.000 6.501" Properties=species:S:1:pos:R:3 comment="PBE YIr2W, relaxed" space_group="F-43m (216)" energy_ev_per_fu=-36.32 crystal_system=cubic formation_energy_ev_per_atom=0.203 pbc="T T T"
Y 0.000 0.000 0.000
Y 0.000 3.250 3.250
Y 3.250 0.000 3.250
Y 3.250 3.250 0.000
Ir 0.000 0.000 3.250
Ir 0.000 3.250 0.000
Ir 1.625 1.625 4.875
Ir 1.625 4.875 1.625
Ir 3.250 0.000 0.000
Ir 3.250 3.250 3.250
Ir 4.875 1.625 1.625
Ir 4.875 4.875 4.875
W 1.625 1.625 1.625
W 1.625 4.875 4.875
W 4.875 1.625 4.875
W 4.875 4.875 1.625

---

# 9
12
Lattice="6.458 0.000 0.000 0.000 6.458 0.000 0.000 0.000 6.458" Properties=species:S:1:pos:R:3 comment="PBE YIrW, relaxed" space_group="F-43m (216)" energy_ev_per_fu=-24.01 crystal_system=cubic formation_energy_ev_per_atom=1.423 pbc="T T T"
Y 0.000 0.000 0.000
Y 0.000 3.229 3.229
Y 3.229 0.000 3.229
Y 3.229 3.229 0.000
Ir 1.614 1.614 4.843
Ir 1.614 4.843 1.614
Ir 4.843 1.614 1.614
Ir 4.843 4.843 4.843
W 1.614 1.614 1.614
W 1.614 4.843 4.843
W 4.843 1.614 4.843
W 4.843 4.843 1.614

---

# 10
16
Lattice="6.201 0.000 0.000 0.000 6.201 0.000 0.000 0.000 6.201" Properties=species:S:1:pos:R:3 comment="PBE ZnIr2W, relaxed" space_group="F-43m (216)" energy_ev_per_fu=-31.03 crystal_system=cubic formation_energy_ev_per_atom=0.227 pbc="T T T"
Zn 0.000 0.000 0.000
Zn 0.000 3.100 3.100
Zn 3.100 0.000 3.100
Zn 3.100 3.100 0.000
Ir 0.000 0.000 3.100
Ir 0.000 3.100 0.000
Ir 1.550 1.550 4.650
Ir 1.550 4.650 1.550
Ir 3.100 0.000 0.000
Ir 3.100 3.100 3.100
Ir 4.650 1.550 1.550
Ir 4.650 4.650 4.650
W 1.550 1.550 1.550
W 1.550 4.650 4.650
W 4.650 1.550 4.650
W 4.650 4.650 1.550

---

# 11
16
Lattice="6.200 0.000 0.000 0.000 6.200 0.000 0.000 0.000 6.200" Properties=species:S:1:pos:R:3 comment="PBE ZnIr2W, relaxed" space_group="F-43m (216)" energy_ev_per_fu=-31.03 crystal_system=cubic formation_energy_ev_per_atom=0.227 pbc="T T T"
Zn 0.000 0.000 0.000
Zn 0.000 3.100 3.100
Zn 3.100 0.000 3.100
Zn 3.100 3.100 0.000
Ir 0.000 0.000 3.100
Ir 0.000 3.100 0.000
Ir 1.550 1.550 1.550
Ir 1.550 4.650 4.650
Ir 3.100 0.000 0.000
Ir 3.100 3.100 3.100
Ir 4.650 1.550 4.650
Ir 4.650 4.650 1.550
W 1.550 1.550 4.650
W 1.550 4.650 1.550
W 4.650 1.550 1.550
W 4.650 4.650 4.650

---

# 12
16
Lattice="6.177 0.000 0.000 0.000 6.177 0.000 0.000 0.000 6.177" Properties=species:S:1:pos:R:3 comment="PBE Zn2IrW, relaxed" space_group="F-43m (216)" energy_ev_per_fu=-23.93 crystal_system=cubic formation_energy_ev_per_atom=0.103 pbc="T T T"
Zn 0.000 0.000 0.000
Zn 0.000 3.089 3.089
Zn 1.544 1.544 1.544
Zn 1.544 4.633 4.633
Zn 3.089 0.000 3.089
Zn 3.089 3.089 0.000
Zn 4.633 1.544 4.633
Zn 4.633 4.633 1.544
Ir 1.544 1.544 4.633
Ir 1.544 4.633 1.544
Ir 4.633 1.544 1.544
Ir 4.633 4.633 4.633
W 0.000 0.000 3.089
W 0.000 3.089 0.000
W 3.089 0.000 0.000
W 3.089 3.089 3.089

---

# 13
12
Lattice="5.962 0.000 0.000 0.000 5.962 0.000 0.000 0.000 5.962" Properties=species:S:1:pos:R:3 comment="PBE ZnIrW, relaxed" space_group="F-43m (216)" energy_ev_per_fu=-21.60 relative_energy_ev_per_fu=1.00 crystal_system=cubic formation_energy_ev_per_atom=0.494 pbc="T T T"
Zn 0.000 0.000 0.000
Zn 0.000 2.981 2.981
Zn 2.981 0.000 2.981
Zn 2.981 2.981 0.000
Ir 0.000 0.000 2.981
Ir 0.000 2.981 0.000
Ir 2.981 0.000 0.000
Ir 2.981 2.981 2.981
W 1.490 1.490 4.471
W 1.490 4.471 1.490
W 4.471 1.490 1.490
W 4.471 4.471 4.471

---

# 14
7
Lattice="2.292 1.324 7.451 -2.292 1.324 7.451 0.000 -2.647 7.451" Properties=species:S:1:pos:R:3 comment="PBE Zr3Ir2W2, relaxed" space_group="R3m (160)" energy_ev_per_fu=-67.51 crystal_system=trigonal formation_energy_ev_per_atom=0.252 pbc="T T T"
Zr 0.000 0.000 0.000
Zr 0.000 0.000 5.521
Zr 0.000 0.000 16.801
Ir 0.000 0.000 8.407
Ir 0.000 0.000 19.436
W 0.000 0.000 2.881
W 0.000 0.000 13.855

---

# 15
16
Lattice="6.416 0.000 0.000 0.000 6.416 0.000 0.000 0.000 6.416" Properties=species:S:1:pos:R:3 comment="PBE ZrIr2W, relaxed" space_group="F-43m (216)" energy_ev_per_fu=-39.49 crystal_system=cubic formation_energy_ev_per_atom=-0.069 pbc="T T T"
Zr 0.000 0.000 0.000
Zr 0.000 3.208 3.208
Zr 3.208 0.000 3.208
Zr 3.208 3.208 0.000
Ir 0.000 0.000 3.208
Ir 0.000 3.208 0.000
Ir 1.604 1.604 1.604
Ir 1.604 4.812 4.812
Ir 3.208 0.000 0.000
Ir 3.208 3.208 3.208
Ir 4.812 1.604 4.812
Ir 4.812 4.812 1.604
W 1.604 1.604 4.812
W 1.604 4.812 1.604
W 4.812 1.604 1.604
W 4.812 4.812 4.812

---

# 16
32
Lattice="10.917 0.000 0.000 0.000 10.917 0.000 0.000 0.000 6.357" Properties=species:S:1:pos:R:3 comment="PBE Y5Ir3, relaxed" space_group="P4/ncc (130)" energy_ev_per_fu=-65.07 crystal_system=tetragonal formation_energy_ev_per_atom=-0.773 pbc="T T T"
Y 0.450 1.772 0.783
Y 0.450 3.686 3.961
Y 1.772 0.450 3.961
Y 1.772 5.008 0.783
Y 2.729 8.188 0.000
Y 2.729 8.188 3.178
Y 3.686 0.450 0.783
Y 3.686 5.008 3.961
Y 5.008 1.772 3.961
Y 5.008 3.686 0.783
Y 5.908 7.231 5.574
Y 5.908 9.145 2.395
Y 7.231 5.908 2.395
Y 7.231 10.467 5.574
Y 8.188 2.729 0.000
Y 8.188 2.729 3.178
Y 9.145 5.908 5.574
Y 9.145 10.467 2.395
Y 10.467 7.231 2.395
Y 10.467 9.145 5.574
Ir 1.052 6.511 4.768
Ir 1.052 9.865 1.589
Ir 2.729 2.729 2.400
Ir 2.729 2.729 5.578
Ir 4.406 6.511 1.589
Ir 4.406 9.865 4.768
Ir 6.511 1.052 1.589
Ir 6.511 4.406 4.768
Ir 8.188 8.188 0.779
Ir 8.188 8.188 3.957
Ir 9.865 1.052 4.768
Ir 9.865 4.406 1.589

---

# 17
6
Lattice="0.000 3.783 3.783 3.783 0.000 3.783 3.783 3.783 0.000" Properties=species:S:1:pos:R:3 comment="PBE YIr2, relaxed" space_group="Fd-3m (227)" energy_ev_per_fu=-26.58 crystal_system=cubic formation_energy_ev_per_atom=-0.801 pbc="T T T"
Y 0.946 0.946 0.946
Y 6.621 6.621 6.621
Ir 3.783 1.892 1.892
Ir 1.892 3.783 1.892
Ir 1.892 1.892 3.783
Ir 3.783 3.783 3.783

---

# 18
2
Lattice="3.427 0.000 0.000 0.000 3.427 0.000 0.000 0.000 3.427" Properties=species:S:1:pos:R:3 comment="PBE YIr, relaxed" space_group="Pm-3m (221)" energy_ev_per_fu=-16.89 crystal_system=cubic formation_energy_ev_per_atom=-0.784 pbc="T T T"
Y 0.000 0.000 0.000
Ir 1.713 1.713 1.713

---

# 19
14
Lattice="7.896 -3.257 0.000 7.896 3.257 0.000 -0.878 0.000 7.168" Properties=species:S:1:pos:R:3 comment="PBE Y5Ir2, relaxed" space_group="C2/c (15)" energy_ev_per_fu=-54.52 crystal_system=monoclinic formation_energy_ev_per_atom=-0.640 pbc="T T T"
Y 7.237 2.795 5.376
Y 3.193 0.435 2.273
Y 2.754 -0.435 5.857
Y 6.369 0.763 0.583
Y 8.983 0.763 3.001
Y 5.930 -0.763 4.167
Y 8.544 -0.763 6.585
Y 12.159 0.435 1.311
Y 11.720 -0.435 4.895
Y 7.676 -2.795 1.792
Ir 5.783 1.853 3.052
Ir 9.569 1.853 0.531
Ir 5.344 -1.853 6.636
Ir 9.130 -1.853 4.115

---

# 20
6
Lattice="0.000 4.084 4.084 4.084 0.000 4.084 4.084 4.084 0.000" Properties=species:S:1:pos:R:3 comment="PBE Y2Ir, relaxed" space_group="Fd-3m (227)" energy_ev_per_fu=-19.67 crystal_system=cubic formation_energy_ev_per_atom=0.707 pbc="T T T"
Y 0.000 0.000 0.000
Y 2.042 2.042 0.000
Y 2.042 0.000 2.042
Y 0.000 2.042 2.042
Ir 3.063 3.063 3.063
Ir 5.105 5.105 5.105

---

# 21
9
Lattice="7.767 0.000 0.000 -3.883 6.726 0.000 0.000 0.000 4.124" Properties=species:S:1:pos:R:3 comment="PBE Y2Ir, relaxed" space_group="P-62m (189)" energy_ev_per_fu=-23.64 crystal_system=hexagonal formation_energy_ev_per_atom=-0.619 pbc="T T T"
Y -1.606 2.781 0.000
Y -2.890 5.006 2.062
Y 0.993 1.720 2.062
Y 3.212 0.000 0.000
Y 2.278 3.945 0.000
Y 5.781 0.000 2.062
Ir 0.000 0.000 0.000
Ir 0.000 4.484 2.062
Ir 3.883 2.242 2.062

---

# 22
16
Lattice="6.529 0.000 0.000 0.000 6.529 0.000 0.000 0.000 6.529" Properties=species:S:1:pos:R:3 comment="PBE YZnIr2, relaxed" space_group="F-43m (216)" energy_ev_per_fu=-25.99 crystal_system=cubic formation_energy_ev_per_atom=-0.137 pbc="T T T"
Y 0.000 0.000 0.000
Y 0.000 3.265 3.265
Y 3.265 0.000 3.265
Y 3.265 3.265 0.000
Zn 1.632 1.632 4.897
Zn 1.632 4.897 1.632
Zn 4.897 1.632 1.632
Zn 4.897 4.897 4.897
Ir 0.000 0.000 3.265
Ir 0.000 3.265 0.000
Ir 1.632 1.632 1.632
Ir 1.632 4.897 4.897
Ir 3.265 0.000 0.000
Ir 3.265 3.265 3.265
Ir 4.897 1.632 4.897
Ir 4.897 4.897 1.632

---

# 23
12
Lattice="6.515 0.000 0.000 0.000 6.515 0.000 0.000 0.000 6.515" Properties=species:S:1:pos:R:3 comment="PBE YZnIr, relaxed" space_group="F-43m (216)" energy_ev_per_fu=-16.22 crystal_system=cubic formation_energy_ev_per_atom=0.120 pbc="T T T"
Y 0.000 0.000 0.000
Y 0.000 3.257 3.257
Y 3.257 0.000 3.257
Y 3.257 3.257 0.000
Zn 1.629 1.629 1.629
Zn 1.629 4.886 4.886
Zn 4.886 1.629 4.886
Zn 4.886 4.886 1.629
Ir 1.629 1.629 4.886
Ir 1.629 4.886 1.629
Ir 4.886 1.629 1.629
Ir 4.886 4.886 4.886

---

# 24
32
Lattice="3.860 0.000 0.000 0.000 3.859 0.000 0.000 0.000 44.274" Properties=species:S:1:pos:R:3 comment="PBE ZnIr15, relaxed" space_group="Pmma (51)" energy_ev_per_fu=-132.38 relative_energy_ev_per_fu=0.06 crystal_system=orthorhombic formation_energy_ev_per_atom=0.107 pbc="T T T"
Zn 0.965 0.000 7.459
Zn 2.895 0.000 36.815
Ir 0.965 0.000 11.447
Ir 0.965 0.000 15.342
Ir 0.965 0.000 19.220
Ir 0.965 0.000 23.109
Ir 0.965 0.000 26.992
Ir 0.965 0.000 30.885
Ir 0.965 0.000 34.741
Ir 0.965 1.930 9.534
Ir 0.965 1.930 13.389
Ir 0.965 1.930 17.280
Ir 0.965 1.930 21.168
Ir 0.965 1.930 25.046
Ir 0.965 1.930 28.943
Ir 0.965 1.930 32.821
Ir 0.965 1.930 36.580
Ir 2.895 0.000 9.533
Ir 2.895 0.000 13.389
Ir 2.895 0.000 17.282
Ir 2.895 0.000 21.164
Ir 2.895 0.000 25.054
Ir 2.895 0.000 28.932
Ir 2.895 0.000 32.827
Ir 2.895 1.930 7.693
Ir 2.895 1.930 11.453
Ir 2.895 1.930 15.331
Ir 2.895 1.930 19.228
Ir 2.895 1.930 23.106
Ir 2.895 1.930 26.994
Ir 2.895 1.930 30.885
Ir 2.895 1.930 34.740

---

# 25
10
Lattice="4.448 0.000 0.000 0.000 6.847 2.330 0.000 -6.847 2.330" Properties=species:S:1:pos:R:3 comment="PBE ZnIr, relaxed" space_group="Amm2 (38)" energy_ev_per_fu=-10.29 crystal_system=orthorhombic formation_energy_ev_per_atom=-0.086 pbc="T T T"
Zn 0.000 0.000 0.000
Zn 0.000 -4.114 2.351
Zn 0.000 4.114 2.351
Zn 2.224 -2.733 3.100
Zn 2.224 2.733 3.100
Ir 0.000 -1.448 2.331
Ir 0.000 1.448 2.331
Ir 2.224 -1.392 0.769
Ir 2.224 1.392 0.769
Ir 2.224 0.000 3.138